Entry 1:
Material: RbTcHg2Cl8
Method: DFT, PBE
State: optimized geometry

Computed properties:
Crystal system   triclinic
Raw formation energy   -10.06 eV per formula unit
Mass density   3.645 g/cm³
DFT total energy   -0.225 Ry/atom

Lattice parameters (Å, degrees): 6.3930 7.2690 9.0504 106.22 96.58 97.27
Space group P-1 (No. 2)
Asymmetric unit:
Rb1 0.0000 0.0000 0.0000 x1
Tc1 0.0000 0.0000 0.5000 x1
Hg1 0.3576 0.4551 0.7709 x2
Cl1 0.0475 0.7543 0.2706 x2
Cl2 0.1513 0.8251 0.6572 x2
Cl3 0.3401 0.1919 0.5227 x2
Cl4 0.4927 0.7463 0.9840 x2



Entry 2:
Material: LaTbAu2
Method: DFT, PBE
State: optimized geometry

Computed properties:
D(E_F)   1.980 states/eV/cell
Formation enthalpy at 0 K   -0.821 eV per atom
Crystal system   tetragonal
Mass density   11.397 g/cm³
DFT total energy   -0.356 Ry/atom

Lattice parameters (Å, degrees): 3.6535 3.6535 7.5505 90.00 90.00 90.00
Space group P4/mmm (No. 123)
Asymmetric unit:
La1 0.0000 0.0000 0.0000 x1
Tb1 0.0000 0.0000 0.5000 x1
Au1 0.5000 0.5000 0.2761 x2



Entry 3:
Material: LaPu2AgPt2
Method: DFT, PBE
State: optimized geometry

Computed properties:
D(E_F)   22.126 states/eV/cell
Formation enthalpy at 0 K   -0.584 eV per atom
Crystal system   trigonal
Mass density   13.378 g/cm³
DFT total energy   -0.637 Ry/atom

Lattice parameters (Å, degrees): 5.0607 5.0607 6.2956 90.00 90.00 120.00
Space group P-3m1 (No. 164)
Asymmetric unit:
La1 0.0000 0.0000 0.0000 x1
Pu1 0.3333 0.6667 0.7050 x2
Ag1 0.0000 0.0000 0.5000 x1
Pt1 0.3333 0.6667 0.2284 x2



Entry 4:
Material: IrPbSe
Method: DFT, PBE
State: optimized geometry

Computed properties:
D(E_F)   8.704 states/eV/cell
Crystal system   triclinic
Raw formation energy   -0.21 eV per formula unit
Excess energy over the best structure of this formula in the dataset   0 kJ/mol of formula units
Mass density   11.670 g/cm³
DFT total energy   -0.398 Ry/atom

Lattice parameters (Å, degrees): 5.7042 7.2151 10.0841 80.35 87.07 87.72
Space group P-1 (No. 2)
Asymmetric unit:
Ir1 0.0000 0.0000 0.0000 x1
Ir2 0.0184 0.3074 0.6520 x2
Ir3 0.4718 0.1932 0.3032 x2
Ir4 0.5000 0.5000 0.0000 x1
Pb1 0.1920 0.5571 0.7910 x2
Pb2 0.2486 0.9046 0.4790 x2
Pb3 0.3048 0.7507 0.1418 x2
Se1 0.2061 0.2518 0.1049 x2
Se2 0.2644 0.4221 0.4410 x2
Se3 0.2809 0.0605 0.7924 x2



Entry 5:
Material: Ti4Nb2P
Method: DFT, PBE
State: optimized geometry

Computed properties:
D(E_F)   15.479 states/eV/cell
Formation enthalpy at 0 K   0.357 eV per atom
Crystal system   tetragonal
Mass density   5.074 g/cm³
DFT total energy   -0.574 Ry/atom

Lattice parameters (Å, degrees): 4.5483 4.5483 12.9174 90.00 90.00 90.00
Space group I4/mmm (No. 139)
Asymmetric unit:
Ti1 0.0000 0.0000 0.1854 x4
Ti2 0.0000 0.5000 0.0000 x4
Nb1 0.0000 0.0000 0.3807 x4
P1 0.0000 0.0000 0.0000 x2



Entry 6:
Material: Zr2Ag
Method: DFT, PBE
State: optimized geometry

Computed properties:
D(E_F)   8.693 states/eV/cell
Formation enthalpy at 0 K   0.066 eV per atom
Crystal system   hexagonal
Mass density   7.481 g/cm³
DFT total energy   -0.484 Ry/atom

Lattice parameters (Å, degrees): 8.2868 8.2868 3.2507 90.00 90.00 120.00
Space group P-62m (No. 189)
Asymmetric unit:
Zr1 0.0000 0.2838 0.0000 x3
Zr2 0.0000 0.6111 0.5000 x3
Ag1 0.0000 0.0000 0.5000 x1
Ag2 0.3333 0.6667 0.0000 x2